# LaPmThTl (PBE-GGA, optimized geometry)
# size of the total moment	0.0	μB/cell
# energy of formation from the pure elements	0.02	eV/atom
# mass density	9450	kg/m³
data_LaPmThTl
_chemical_formula_sum 'La4 Pm4 Th4 Tl4'
_cell_length_a 7.970
_cell_length_b 7.970
_cell_length_c 7.970
_cell_angle_alpha 90.00
_cell_angle_beta 90.00
_cell_angle_gamma 90.00
_symmetry_space_group_name_H-M 'F -4 3 m'
_symmetry_Int_Tables_number 216
_symmetry_space_group_name_Hall 'F -4 2 3'
loop_
_atom_site_label
_atom_site_fract_x
_atom_site_fract_y
_atom_site_fract_z
La1 0.000 0.000 0.000
Pm1 0.250 0.250 0.750
Th1 0.000 0.000 0.500
Tl1 0.250 0.250 0.250